Record 1
! AgSnHg | Alexandria via LeMat-Bulk | PBE | relaxed; values from VASP
&SYSTEM
  ibrav = 0, nat = 6, ntyp = 3
/
ATOMIC_SPECIES
Sn 118.71 Sn.upf
Ag 107.87 Ag.upf
Hg 200.59 Hg.upf
ATOMIC_POSITIONS crystal
Sn 0.514 0.572 0.341
Sn 0.167 0.391 0.726
Ag 0.033 0.825 0.429
Ag 0.648 0.135 0.639
Hg 0.060 0.313 0.110
Hg 0.621 0.643 0.957
CELL_PARAMETERS angstrom
-1.108 -5.681 -0.584
2.783 0.215 1.440
-3.707 -1.818 7.126
! Space group: P1, No. 1
! Calculated density in g/cm3: 10.07
! Energy of formation from the pure elements in eV/atom: 0.041
! E in eV/cell: -14.065

***

Record 2
! Ag3SnHg | Alexandria via LeMat-Bulk | PBE | relaxed; values from VASP
&SYSTEM
  ibrav = 0, nat = 10, ntyp = 3
/
ATOMIC_SPECIES
Sn 118.71 Sn.upf
Ag 107.87 Ag.upf
Hg 200.59 Hg.upf
ATOMIC_POSITIONS crystal
Sn 0.291 0.656 0.982
Sn 0.735 0.155 0.404
Ag 0.879 0.656 0.790
Ag 0.546 0.156 0.788
Ag 0.678 0.656 0.196
Ag 0.347 0.156 0.189
Ag 0.147 0.156 0.596
Ag 0.480 0.656 0.597
Hg 0.932 0.156 0.986
Hg 0.093 0.656 0.400
CELL_PARAMETERS angstrom
5.289 0.003 -0.064
-0.003 5.046 0.000
2.550 0.002 7.571
! Space group: P2_1/m, No. 11
! Calculated density in g/cm3: 10.52
! Energy of formation from the pure elements in eV/atom: 0.042
! E in eV/cell: -25.297

***

Record 3
! AgSnHg2 | Alexandria via LeMat-Bulk | PBE | relaxed; values from VASP
&SYSTEM
  ibrav = 0, nat = 8, ntyp = 3
/
ATOMIC_SPECIES
Hg 200.59 Hg.upf
Sn 118.71 Sn.upf
Ag 107.87 Ag.upf
ATOMIC_POSITIONS crystal
Hg 0.375 0.390 0.750
Hg 0.140 0.625 0.250
Hg 0.875 0.860 0.750
Hg 0.610 0.125 0.250
Sn 0.750 0.250 0.500
Sn 0.000 0.000 0.000
Ag 0.250 0.750 0.500
Ag 0.500 0.500 0.000
CELL_PARAMETERS angstrom
8.170 0.000 0.000
0.000 8.170 0.000
4.085 4.085 3.006
! Space group: I-42d, No. 122
! Calculated density in g/cm3: 10.39
! Energy of formation from the pure elements in eV/atom: 0.140
! E in eV/cell: -13.794

***

Record 4
! AgSn2Hg | Alexandria via LeMat-Bulk | PBE | relaxed; values from VASP
&SYSTEM
  ibrav = 0, nat = 4, ntyp = 3
/
ATOMIC_SPECIES
Hg 200.59 Hg.upf
Sn 118.71 Sn.upf
Ag 107.87 Ag.upf
ATOMIC_POSITIONS crystal
Hg 0.500 0.500 0.500
Sn 0.000 0.000 0.500
Sn 0.000 0.500 0.000
Ag 0.500 0.000 0.000
CELL_PARAMETERS angstrom
-2.036 -3.454 -1.978
3.697 -0.602 -2.754
1.862 -2.890 3.130
! Space group: P4/mmm, No. 123
! Calculated density in g/cm3: 9.38
! Energy of formation from the pure elements in eV/atom: 0.106
! E in eV/cell: -10.734

***

Record 5
! AgSnHg2 | Alexandria via LeMat-Bulk | PBE | relaxed; values from VASP
&SYSTEM
  ibrav = 0, nat = 4, ntyp = 3
/
ATOMIC_SPECIES
Sn 118.71 Sn.upf
Hg 200.59 Hg.upf
Ag 107.87 Ag.upf
ATOMIC_POSITIONS crystal
Sn 0.500 0.500 0.500
Hg 0.000 0.000 0.226
Hg 0.000 0.000 0.774
Ag 0.500 0.500 0.000
CELL_PARAMETERS angstrom
-1.793 2.649 -1.530
-2.977 -1.104 1.578
1.472 4.362 5.827
! Space group: P4/mmm, No. 123
! Calculated density in g/cm3: 11.16
! Energy of formation from the pure elements in eV/atom: 0.114
! E in eV/cell: -7.000

***

Record 6
! Ag6Sn2Hg | Alexandria via LeMat-Bulk | PBE | relaxed; values from VASP
&SYSTEM
  ibrav = 0, nat = 18, ntyp = 3
/
ATOMIC_SPECIES
Sn 118.71 Sn.upf
Ag 107.87 Ag.upf
Hg 200.59 Hg.upf
ATOMIC_POSITIONS crystal
Sn 0.558 0.894 0.674
Sn 0.058 0.606 0.174
Sn 0.442 0.106 0.326
Sn 0.942 0.394 0.826
Ag 0.340 0.861 0.036
Ag 0.059 0.141 0.133
Ag 0.240 0.660 0.701
Ag 0.941 0.859 0.867
Ag 0.760 0.340 0.299
Ag 0.559 0.359 0.633
Ag 0.660 0.139 0.964
Ag 0.840 0.639 0.536
Ag 0.740 0.840 0.201
Ag 0.260 0.160 0.799
Ag 0.441 0.641 0.367
Ag 0.160 0.361 0.464
Hg 0.000 0.000 0.500
Hg 0.500 0.500 0.000
CELL_PARAMETERS angstrom
-1.488 5.027 4.726
1.865 -4.443 5.312
7.139 2.067 -0.778
! Space group: P2_1/c, No. 14
! Calculated density in g/cm3: 9.55
! Energy of formation from the pure elements in eV/atom: 0.042
! E in eV/cell: -50.075